Run 1
Compound: ScB3Rh
Source: Alexandria via LeMat-Bulk
Functional: PBE
Structure: optimized geometry

Properties
Total moment (Bohr magnetons per cell): 0.000
SG: Pm-3m, No. 221
Crystal system: cubic
Volume (Å³/atom): 12.9

Structure (CIF):
```
data_ScB3Rh
_chemical_formula_sum 'Sc1 B3 Rh1'
_space_group_name_H-M_alt 'P 1'
_space_group_IT_number 1
_cell_length_a 4.0140
_cell_length_b 4.0140
_cell_length_c 4.0140
_cell_angle_alpha 90.00
_cell_angle_beta 90.00
_cell_angle_gamma 90.00
loop_
_space_group_symop_operation_xyz
'x,y,z'
loop_
_atom_site_label
_atom_site_type_symbol
_atom_site_fract_x
_atom_site_fract_y
_atom_site_fract_z
Sc1 Sc 0.0000 0.0000 0.0000
B1 B 0.0000 0.5000 0.5000
B2 B 0.5000 0.0000 0.5000
B3 B 0.5000 0.5000 0.0000
Rh1 Rh 0.5000 0.5000 0.5000
```

---

Run 2
Compound: ScB3Rh
Source: Alexandria via LeMat-Bulk
Functional: PBE
Structure: optimized geometry

Properties
Total moment (Bohr magnetons per cell): 0.000
SG: Pm-3m, No. 221
Crystal system: cubic
Volume (Å³/atom): 13.8

Structure (CIF):
```
data_ScB3Rh
_chemical_formula_sum 'Sc1 B3 Rh1'
_space_group_name_H-M_alt 'P 1'
_space_group_IT_number 1
_cell_length_a 4.0985
_cell_length_b 4.0985
_cell_length_c 4.0985
_cell_angle_alpha 90.00
_cell_angle_beta 90.00
_cell_angle_gamma 90.00
loop_
_space_group_symop_operation_xyz
'x,y,z'
loop_
_atom_site_label
_atom_site_type_symbol
_atom_site_fract_x
_atom_site_fract_y
_atom_site_fract_z
Sc1 Sc 0.0000 0.0000 0.0000
B1 B 0.0000 0.0000 0.5000
B2 B 0.0000 0.5000 0.0000
B3 B 0.5000 0.0000 0.0000
Rh1 Rh 0.5000 0.5000 0.5000
```

---

In terms of stability, run 1 leads; the second structure lies 1.575 eV/atom higher.

---

Run 1
Compound: ScB2Rh
Source: Alexandria via LeMat-Bulk
Functional: PBE
Structure: optimized geometry

Properties
Total moment (Bohr magnetons per cell): 0.000
SG: I4_1/amd, No. 141
Crystal system: tetragonal
Volume (Å³/atom): 13.3

Structure (CIF):
```
data_ScB2Rh
_chemical_formula_sum 'Sc2 B4 Rh2'
_space_group_name_H-M_alt 'P 1'
_space_group_IT_number 1
_cell_length_a 7.9043
_cell_length_b 7.9043
_cell_length_c 7.9043
_cell_angle_alpha 152.28
_cell_angle_beta 152.28
_cell_angle_gamma 39.61
loop_
_space_group_symop_operation_xyz
'x,y,z'
loop_
_atom_site_label
_atom_site_type_symbol
_atom_site_fract_x
_atom_site_fract_y
_atom_site_fract_z
Sc1 Sc 0.3750 0.6250 0.7500
Sc2 Sc 0.6250 0.3750 0.2500
B1 B 0.0000 0.0000 0.0000
B2 B 0.0000 0.0000 0.5000
B3 B 0.0000 0.5000 0.0000
B4 B 0.5000 0.0000 0.5000
Rh1 Rh 0.1250 0.8750 0.2500
Rh2 Rh 0.8750 0.1250 0.7500
```

---

Run 2
Compound: ScB2Rh
Source: Alexandria via LeMat-Bulk
Functional: PBE
Structure: optimized geometry

Properties
Total moment (Bohr magnetons per cell): 0.000
SG: Fm-3m, No. 225
Crystal system: cubic
Volume (Å³/atom): 11.1

Structure (CIF):
```
data_ScB2Rh
_chemical_formula_sum 'Sc1 B2 Rh1'
_space_group_name_H-M_alt 'P 1'
_space_group_IT_number 1
_cell_length_a 3.9704
_cell_length_b 3.9704
_cell_length_c 3.9704
_cell_angle_alpha 60.00
_cell_angle_beta 60.00
_cell_angle_gamma 60.00
loop_
_space_group_symop_operation_xyz
'x,y,z'
loop_
_atom_site_label
_atom_site_type_symbol
_atom_site_fract_x
_atom_site_fract_y
_atom_site_fract_z
Sc1 Sc 0.0000 0.0000 0.0000
B1 B 0.2500 0.2500 0.2500
B2 B 0.7500 0.7500 0.7500
Rh1 Rh 0.5000 0.5000 0.5000
```

---

In terms of stability, run 1 leads; the second structure lies 0.134 eV/atom higher.

---

Run 1
Compound: BRh3Se
Source: Alexandria via LeMat-Bulk
Functional: PBE
Structure: optimized geometry

Properties
Total moment (Bohr magnetons per cell): 0.000
SG: Pm-3m, No. 221
Crystal system: cubic
Volume (Å³/atom): 18.9

Structure (CIF):
```
data_BRh3Se
_chemical_formula_sum 'B1 Rh3 Se1'
_space_group_name_H-M_alt 'P 1'
_space_group_IT_number 1
_cell_length_a 4.5518
_cell_length_b 4.5518
_cell_length_c 4.5518
_cell_angle_alpha 90.00
_cell_angle_beta 90.00
_cell_angle_gamma 90.00
loop_
_space_group_symop_operation_xyz
'x,y,z'
loop_
_atom_site_label
_atom_site_type_symbol
_atom_site_fract_x
_atom_site_fract_y
_atom_site_fract_z
B1 B 0.0000 0.0000 0.0000
Rh1 Rh 0.0000 0.5000 0.5000
Rh2 Rh 0.5000 0.0000 0.5000
Rh3 Rh 0.5000 0.5000 0.0000
Se1 Se 0.5000 0.5000 0.5000
```

---

Run 2
Compound: BRh3Se
Source: Alexandria via LeMat-Bulk
Functional: PBE
Structure: optimized geometry

Properties
Total moment (Bohr magnetons per cell): 0.806
SG: Pm-3m, No. 221
Crystal system: cubic
Volume (Å³/atom): 14.3

Structure (CIF):
```
data_BRh3Se
_chemical_formula_sum 'B1 Rh3 Se1'
_space_group_name_H-M_alt 'P 1'
_space_group_IT_number 1
_cell_length_a 4.1521
_cell_length_b 4.1521
_cell_length_c 4.1521
_cell_angle_alpha 90.00
_cell_angle_beta 90.00
_cell_angle_gamma 90.00
loop_
_space_group_symop_operation_xyz
'x,y,z'
loop_
_atom_site_label
_atom_site_type_symbol
_atom_site_fract_x
_atom_site_fract_y
_atom_site_fract_z
B1 B 0.0000 0.0000 0.0000
Rh1 Rh 0.0000 0.0000 0.5000
Rh2 Rh 0.0000 0.5000 0.0000
Rh3 Rh 0.5000 0.0000 0.0000
Se1 Se 0.5000 0.5000 0.5000
```

---

In terms of stability, run 2 leads; the second structure lies 1.301 eV/atom higher.

---

Run 1
Compound: BRh2Se
Source: Alexandria via LeMat-Bulk
Functional: PBE
Structure: optimized geometry

Properties
Total moment (Bohr magnetons per cell): 0.000
SG: I-42d, No. 122
Crystal system: tetragonal
Volume (Å³/atom): 16.4

Structure (CIF):
```
data_BRh2Se
_chemical_formula_sum 'B2 Rh4 Se2'
_space_group_name_H-M_alt 'P 1'
_space_group_IT_number 1
_cell_length_a 6.3323
_cell_length_b 6.3323
_cell_length_c 6.3323
_cell_angle_alpha 133.45
_cell_angle_beta 133.45
_cell_angle_gamma 67.95
loop_
_space_group_symop_operation_xyz
'x,y,z'
loop_
_atom_site_label
_atom_site_type_symbol
_atom_site_fract_x
_atom_site_fract_y
_atom_site_fract_z
B1 B 0.0000 0.0000 0.0000
B2 B 0.7500 0.2500 0.5000
Rh1 Rh 0.0542 0.6250 0.9292
Rh2 Rh 0.3750 0.3041 0.4292
Rh3 Rh 0.6958 0.1250 0.0708
Rh4 Rh 0.8750 0.9458 0.5708
Se1 Se 0.2500 0.7500 0.5000
Se2 Se 0.5000 0.5000 0.0000
```

---

Run 2
Compound: BRh2Se
Source: Alexandria via LeMat-Bulk
Functional: PBE
Structure: optimized geometry

Properties
Total moment (Bohr magnetons per cell): 0.278
SG: Fm-3m, No. 225
Crystal system: cubic
Volume (Å³/atom): 13.1

Structure (CIF):
```
data_BRh2Se
_chemical_formula_sum 'B1 Rh2 Se1'
_space_group_name_H-M_alt 'P 1'
_space_group_IT_number 1
_cell_length_a 4.1995
_cell_length_b 4.1995
_cell_length_c 4.1995
_cell_angle_alpha 60.00
_cell_angle_beta 60.00
_cell_angle_gamma 60.00
loop_
_space_group_symop_operation_xyz
'x,y,z'
loop_
_atom_site_label
_atom_site_type_symbol
_atom_site_fract_x
_atom_site_fract_y
_atom_site_fract_z
B1 B 0.0000 0.0000 0.0000
Rh1 Rh 0.2500 0.2500 0.2500
Rh2 Rh 0.7500 0.7500 0.7500
Se1 Se 0.5000 0.5000 0.5000
```

---

In terms of stability, run 1 leads; the second structure lies 0.544 eV/atom higher.

---

Run 1
Compound: BRhSe3
Source: Alexandria via LeMat-Bulk
Functional: PBE
Structure: optimized geometry

Properties
Total moment (Bohr magnetons per cell): 0.000
SG: Pm-3m, No. 221
Crystal system: cubic
Volume (Å³/atom): 16.7

Structure (CIF):
```
data_BRhSe3
_chemical_formula_sum 'B1 Rh1 Se3'
_space_group_name_H-M_alt 'P 1'
_space_group_IT_number 1
_cell_length_a 4.3714
_cell_length_b 4.3714
_cell_length_c 4.3714
_cell_angle_alpha 90.00
_cell_angle_beta 90.00
_cell_angle_gamma 90.00
loop_
_space_group_symop_operation_xyz
'x,y,z'
loop_
_atom_site_label
_atom_site_type_symbol
_atom_site_fract_x
_atom_site_fract_y
_atom_site_fract_z
B1 B 0.0000 0.0000 0.0000
Rh1 Rh 0.5000 0.5000 0.5000
Se1 Se 0.0000 0.0000 0.5000
Se2 Se 0.0000 0.5000 0.0000
Se3 Se 0.5000 0.0000 0.0000
```

---

Run 2
Compound: BRhSe3
Source: Alexandria via LeMat-Bulk
Functional: PBE
Structure: optimized geometry

Properties
Total moment (Bohr magnetons per cell): 0.000
SG: Pm-3m, No. 221
Crystal system: cubic
Volume (Å³/atom): 23.4

Structure (CIF):
```
data_BRhSe3
_chemical_formula_sum 'B1 Rh1 Se3'
_space_group_name_H-M_alt 'P 1'
_space_group_IT_number 1
_cell_length_a 4.8894
_cell_length_b 4.8894
_cell_length_c 4.8894
_cell_angle_alpha 90.00
_cell_angle_beta 90.00
_cell_angle_gamma 90.00
loop_
_space_group_symop_operation_xyz
'x,y,z'
loop_
_atom_site_label
_atom_site_type_symbol
_atom_site_fract_x
_atom_site_fract_y
_atom_site_fract_z
B1 B 0.0000 0.0000 0.0000
Rh1 Rh 0.5000 0.5000 0.5000
Se1 Se 0.0000 0.5000 0.5000
Se2 Se 0.5000 0.0000 0.5000
Se3 Se 0.5000 0.5000 0.0000
```

---

In terms of stability, run 1 leads; the second structure lies 0.405 eV/atom higher.

---

Run 1
Compound: B3RhSe
Source: Alexandria via LeMat-Bulk
Functional: PBE
Structure: optimized geometry

Properties
Total moment (Bohr magnetons per cell): 0.000
SG: Pm-3m, No. 221
Crystal system: cubic
Volume (Å³/atom): 13.1

Structure (CIF):
```
data_B3RhSe
_chemical_formula_sum 'B3 Rh1 Se1'
_space_group_name_H-M_alt 'P 1'
_space_group_IT_number 1
_cell_length_a 4.0263
_cell_length_b 4.0263
_cell_length_c 4.0263
_cell_angle_alpha 90.00
_cell_angle_beta 90.00
_cell_angle_gamma 90.00
loop_
_space_group_symop_operation_xyz
'x,y,z'
loop_
_atom_site_label
_atom_site_type_symbol
_atom_site_fract_x
_atom_site_fract_y
_atom_site_fract_z
B1 B 0.0000 0.0000 0.5000
B2 B 0.0000 0.5000 0.0000
B3 B 0.5000 0.0000 0.0000
Rh1 Rh 0.5000 0.5000 0.5000
Se1 Se 0.0000 0.0000 0.0000
```

---

Run 2
Compound: B3RhSe
Source: Alexandria via LeMat-Bulk
Functional: PBE
Structure: optimized geometry

Properties
Total moment (Bohr magnetons per cell): 0.000
SG: Pm-3m, No. 221
Crystal system: cubic
Volume (Å³/atom): 14.2

Structure (CIF):
```
data_B3RhSe
_chemical_formula_sum 'B3 Rh1 Se1'
_space_group_name_H-M_alt 'P 1'
_space_group_IT_number 1
_cell_length_a 4.1369
_cell_length_b 4.1369
_cell_length_c 4.1369
_cell_angle_alpha 90.00
_cell_angle_beta 90.00
_cell_angle_gamma 90.00
loop_
_space_group_symop_operation_xyz
'x,y,z'
loop_
_atom_site_label
_atom_site_type_symbol
_atom_site_fract_x
_atom_site_fract_y
_atom_site_fract_z
B1 B 0.0000 0.0000 0.5000
B2 B 0.0000 0.5000 0.0000
B3 B 0.5000 0.0000 0.0000
Rh1 Rh 0.0000 0.0000 0.0000
Se1 Se 0.5000 0.5000 0.5000
```

---

In terms of stability, run 2 leads; the second structure lies 0.858 eV/atom higher.